Here is a relaxed TaTcH2 crystal from the Alexandria database. Energies are from PBE.

It has space group R3m (No. 160, hexagonal axes), with a = 2.9596 Å, b = 2.9596 Å, c = 14.9429 Å, α = 90.00°, β = 90.00° and γ = 120.00°. The distinct sites, in fractional coordinates, are Ta at (0.0000, 0.0000, 0.0000), Tc at (0.0000, 0.0000, 0.8225), H at (0.0000, 0.0000, 0.2362) and H at (0.0000, 0.0000, 0.4271).

As for the energy: -7.05 eV/atom.

Here is a relaxed Ta2TcH2 crystal from the Alexandria database. Energies are from PBE.

It has space group P4/mbm (No. 127), with a = 6.0777 Å, b = 6.0777 Å, c = 3.0536 Å, α = 90.00°, β = 90.00° and γ = 90.00°. The distinct sites, in fractional coordinates, are Ta at (0.1691, 0.3309, 0.0000), Tc at (0.0000, 0.0000, 0.5000) and H at (0.1292, 0.6292, 0.5000).

As for the energy: -7.93 eV/atom.

Here is a relaxed Ta2Tc2H crystal from the Alexandria database. Energies are from PBE.

It has space group P4/mbm (No. 127), with a = 7.1864 Å, b = 7.1864 Å, c = 3.1895 Å, α = 90.00°, β = 90.00° and γ = 90.00°. The distinct sites, in fractional coordinates, are Ta at (0.1566, 0.3434, 0.0000), Tc at (0.1412, 0.6412, 0.5000) and H at (0.0000, 0.0000, 0.0000).

As for the energy: -8.86 eV/atom.

Here is a relaxed TaTcH crystal from the Alexandria database. Energies are from PBE.

It has space group P-1 (No. 2), with a = 2.9785 Å, b = 4.8063 Å, c = 5.1441 Å, α = 101.30°, β = 104.43° and γ = 91.21°. The distinct sites, in fractional coordinates, are Ta at (0.1356, 0.3435, 0.2204), Tc at (0.3565, 0.1289, 0.7410) and H at (0.2411, 0.7543, 0.4899).

As for the energy: -8.61 eV/atom.

Here is a relaxed Ta2TcH6 crystal from the Alexandria database. Energies are from PBE.

It has space group Immm (No. 71), with a = 3.1038 Å, b = 4.5151 Å, c = 9.5365 Å, α = 90.00°, β = 90.00° and γ = 90.00°. The distinct sites, in fractional coordinates, are Ta at (0.0000, 0.0000, 0.1651), Tc at (0.0000, 0.0000, 0.5000), H at (0.0000, 0.2379, 0.3349) and H at (0.0000, 0.2578, 0.0000).

As for the energy: -6.07 eV/atom.

Here is a relaxed Ta2Tc2H crystal from the Alexandria database. Energies are from PBE.

It has space group I4/mmm (No. 139), with a = 3.8968 Å, b = 3.8968 Å, c = 12.7231 Å, α = 90.00°, β = 90.00° and γ = 90.00°. The distinct sites, in fractional coordinates, are Ta at (0.0000, 0.0000, 0.1214), Tc at (0.0000, 0.5000, 0.2500) and H at (0.0000, 0.0000, 0.5000).

As for the energy: -8.49 eV/atom.

Here is a relaxed TaTcH2 crystal from the Alexandria database. Energies are from PBE.

It has space group I-42d (No. 122), with a = 4.1746 Å, b = 4.1746 Å, c = 8.9243 Å, α = 90.00°, β = 90.00° and γ = 90.00°. The distinct sites, in fractional coordinates, are Ta at (0.0000, 0.0000, 0.0000), Tc at (0.0000, 0.0000, 0.5000) and H at (0.2268, 0.2500, 0.6250).

As for the energy: -7.26 eV/atom.

Here is a relaxed Ta2TcH2 crystal from the Alexandria database. Energies are from PBE.

It has space group I4/mmm (No. 139), with a = 3.1010 Å, b = 3.1010 Å, c = 11.7543 Å, α = 90.00°, β = 90.00° and γ = 90.00°. The distinct sites, in fractional coordinates, are Ta at (0.0000, 0.0000, 0.1392), Tc at (0.0000, 0.0000, 0.5000) and H at (0.0000, 0.5000, 0.2500).

As for the energy: -8.38 eV/atom.

Here is a relaxed TaTcH2 crystal from the Alexandria database. Energies are from PBE.

It has space group Fm-3m (No. 225), with a = 5.3759 Å, b = 5.3759 Å, c = 5.3759 Å, α = 90.00°, β = 90.00° and γ = 90.00°. The distinct sites, in fractional coordinates, are Ta at (0.0000, 0.0000, 0.0000), Tc at (0.0000, 0.0000, 0.5000) and H at (0.2500, 0.2500, 0.2500).

As for the energy: -6.70 eV/atom.

Here is a relaxed TaTcH2 crystal from the Alexandria database. Energies are from PBE.

It has space group R-3m (No. 166, hexagonal axes), with a = 3.0076 Å, b = 3.0076 Å, c = 14.9227 Å, α = 90.00°, β = 90.00° and γ = 120.00°. The distinct sites, in fractional coordinates, are Ta at (0.0000, 0.0000, 0.0000), Tc at (0.0000, 0.0000, 0.5000) and H at (0.0000, 0.0000, 0.1267).

As for the energy: -7.15 eV/atom.

Here is a relaxed TaTc3H4 crystal from the Alexandria database. Energies are from PBE.

It has space group Pm-3m (No. 221), with a = 4.0900 Å, b = 4.0900 Å, c = 4.0900 Å, α = 90.00°, β = 90.00° and γ = 90.00°. The distinct sites, in fractional coordinates, are Ta at (0.0000, 0.0000, 0.0000), Tc at (0.0000, 0.5000, 0.5000), H at (0.0000, 0.0000, 0.5000) and H at (0.5000, 0.5000, 0.5000).

As for the energy: -7.15 eV/atom.

Here is a relaxed TaTc2H2 crystal from the Alexandria database. Energies are from PBE.

It has space group P4/mbm (No. 127), with a = 5.9214 Å, b = 5.9214 Å, c = 3.1568 Å, α = 90.00°, β = 90.00° and γ = 90.00°. The distinct sites, in fractional coordinates, are Ta at (0.0000, 0.0000, 0.0000), Tc at (0.1501, 0.3499, 0.5000) and H at (0.2308, 0.7308, 0.0000).

As for the energy: -7.70 eV/atom.

Here is a relaxed TaTc3H crystal from the Alexandria database. Energies are from PBE.

It has space group Pm-3m (No. 221), with a = 4.7822 Å, b = 4.7822 Å, c = 4.7822 Å, α = 90.00°, β = 90.00° and γ = 90.00°. The distinct sites, in fractional coordinates, are Ta at (0.0000, 0.0000, 0.0000), Tc at (0.0000, 0.0000, 0.5000) and H at (0.5000, 0.5000, 0.5000).

As for the energy: -6.80 eV/atom.

Here is a relaxed TaTi2TcH crystal from the Alexandria database. Energies are from PBE.

It has space group P4/mmm (No. 123), with a = 3.8114 Å, b = 3.8114 Å, c = 4.6669 Å, α = 90.00°, β = 90.00° and γ = 90.00°. The distinct sites, in fractional coordinates, are Ta at (0.0000, 0.0000, 0.0000), Ti at (0.0000, 0.5000, 0.5000), Tc at (0.5000, 0.5000, 0.0000) and H at (0.0000, 0.0000, 0.5000).

As for the energy: -8.42 eV/atom.

Here is a relaxed TaTi2TcH crystal from the Alexandria database. Energies are from PBE.

It has space group P4/mmm (No. 123), with a = 3.8179 Å, b = 3.8179 Å, c = 4.6458 Å, α = 90.00°, β = 90.00° and γ = 90.00°. The distinct sites, in fractional coordinates, are Ta at (0.0000, 0.0000, 0.0000), Ti at (0.0000, 0.5000, 0.5000), Tc at (0.5000, 0.5000, 0.0000) and H at (0.5000, 0.5000, 0.5000).

As for the energy: -8.37 eV/atom.

Here is a relaxed TaV2TcH crystal from the Alexandria database. Energies are from PBE.

It has space group P4/mmm (No. 123), with a = 3.6955 Å, b = 3.6955 Å, c = 4.4937 Å, α = 90.00°, β = 90.00° and γ = 90.00°. The distinct sites, in fractional coordinates, are Ta at (0.0000, 0.0000, 0.0000), V at (0.0000, 0.5000, 0.5000), Tc at (0.5000, 0.5000, 0.0000) and H at (0.0000, 0.0000, 0.5000).

As for the energy: -8.81 eV/atom.

Here is a relaxed Ta2VTcH crystal from the Alexandria database. Energies are from PBE.

It has space group P4/mmm (No. 123), with a = 4.4680 Å, b = 4.4680 Å, c = 3.3129 Å, α = 90.00°, β = 90.00° and γ = 90.00°. The distinct sites, in fractional coordinates, are Ta at (0.0000, 0.5000, 0.0000), V at (0.0000, 0.0000, 0.5000), Tc at (0.5000, 0.5000, 0.5000) and H at (0.0000, 0.0000, 0.0000).

As for the energy: -9.52 eV/atom.

Here is a relaxed Ta2ZnTcH crystal from the Alexandria database. Energies are from PBE.

It has space group P4/mmm (No. 123), with a = 4.1296 Å, b = 4.1296 Å, c = 3.9241 Å, α = 90.00°, β = 90.00° and γ = 90.00°. The distinct sites, in fractional coordinates, are Ta at (0.0000, 0.5000, 0.0000), Zn at (0.0000, 0.0000, 0.5000), Tc at (0.5000, 0.5000, 0.5000) and H at (0.5000, 0.5000, 0.0000).

As for the energy: -7.78 eV/atom.

Here is a relaxed Zr2TaTcH crystal from the Alexandria database. Energies are from PBE.

It has space group P4/mmm (No. 123), with a = 4.7430 Å, b = 4.7430 Å, c = 3.5152 Å, α = 90.00°, β = 90.00° and γ = 90.00°. The distinct sites, in fractional coordinates, are Zr at (0.0000, 0.5000, 0.0000), Ta at (0.0000, 0.0000, 0.5000), Tc at (0.5000, 0.5000, 0.5000) and H at (0.5000, 0.5000, 0.0000).

As for the energy: -8.63 eV/atom.

Here is a relaxed Zr2TaTcH crystal from the Alexandria database. Energies are from PBE.

It has space group P4/mmm (No. 123), with a = 4.6720 Å, b = 4.6720 Å, c = 3.6325 Å, α = 90.00°, β = 90.00° and γ = 90.00°. The distinct sites, in fractional coordinates, are Zr at (0.0000, 0.5000, 0.0000), Ta at (0.0000, 0.0000, 0.5000), Tc at (0.5000, 0.5000, 0.5000) and H at (0.0000, 0.0000, 0.0000).

As for the energy: -8.62 eV/atom.

Here is a relaxed TaTeH3 crystal from the Alexandria database. Energies are from PBE.

It has space group Pm-3m (No. 221), with a = 3.8428 Å, b = 3.8428 Å, c = 3.8428 Å, α = 90.00°, β = 90.00° and γ = 90.00°. The distinct sites, in fractional coordinates, are Ta at (0.0000, 0.0000, 0.0000), Te at (0.5000, 0.5000, 0.5000) and H at (0.0000, 0.5000, 0.5000).

As for the energy: -3.60 eV/atom.

Here is a relaxed TaTe3H2 crystal from the Alexandria database. Energies are from PBE.

It has space group C2/m (No. 12), with a = 17.9067 Å, b = 3.3563 Å, c = 10.6725 Å, α = 90.00°, β = 125.69° and γ = 90.00°. The distinct sites, in fractional coordinates, are Ta at (0.0721, 0.0000, 0.4550), Te at (0.0526, 0.5000, 0.8117), Te at (0.1175, 0.0000, 0.2349), Te at (0.1951, 0.5000, 0.7294), H at (0.0469, 0.0000, 0.6077) and H at (0.1171, 0.5000, 0.4371).

As for the energy: -4.66 eV/atom.

Here is a relaxed TaTeH3 crystal from the Alexandria database. Energies are from PBE.

It has space group Pm-3m (No. 221), with a = 3.7968 Å, b = 3.7968 Å, c = 3.7968 Å, α = 90.00°, β = 90.00° and γ = 90.00°. The distinct sites, in fractional coordinates, are Ta at (0.0000, 0.0000, 0.0000), Te at (0.5000, 0.5000, 0.5000) and H at (0.0000, 0.0000, 0.5000).

As for the energy: -4.65 eV/atom.

Here is a relaxed Ta3Te4H2 crystal from the Alexandria database. Energies are from PBE.

It has space group P3m1 (No. 156), with a = 3.4339 Å, b = 3.4339 Å, c = 19.0244 Å, α = 90.00°, β = 90.00° and γ = 120.00°. The distinct sites, in fractional coordinates, are Ta at (0.0000, 0.0000, 0.0000), Ta at (0.0000, 0.0000, 0.3475), Ta at (0.6667, 0.3333, 0.7546), Te at (0.0000, 0.0000, 0.6529), Te at (0.0000, 0.0000, 0.8568), Te at (0.6667, 0.3333, 0.2441), Te at (0.6667, 0.3333, 0.4510), H at (0.6667, 0.3333, 0.0523) and H at (0.6667, 0.3333, 0.9599).

As for the energy: -6.08 eV/atom.

Here is a relaxed Ta2ZnTeH crystal from the Alexandria database. Energies are from PBE.

It has space group P4/mmm (No. 123), with a = 4.1183 Å, b = 4.1183 Å, c = 4.6215 Å, α = 90.00°, β = 90.00° and γ = 90.00°. The distinct sites, in fractional coordinates, are Ta at (0.0000, 0.5000, 0.0000), Zn at (0.0000, 0.0000, 0.5000), Te at (0.5000, 0.5000, 0.5000) and H at (0.0000, 0.0000, 0.0000).

As for the energy: -5.87 eV/atom.

Here is a relaxed Ta2ZnTeH crystal from the Alexandria database. Energies are from PBE.

It has space group P4/mmm (No. 123), with a = 5.0657 Å, b = 5.0657 Å, c = 3.2742 Å, α = 90.00°, β = 90.00° and γ = 90.00°. The distinct sites, in fractional coordinates, are Ta at (0.0000, 0.5000, 0.0000), Zn at (0.0000, 0.0000, 0.0000), Te at (0.5000, 0.5000, 0.5000) and H at (0.0000, 0.0000, 0.5000).

As for the energy: -5.43 eV/atom.

Here is a relaxed ThTa2H8 crystal from the Alexandria database. Energies are from PBE.

It has space group Cm (No. 8), with a = 5.6662 Å, b = 8.9381 Å, c = 3.7762 Å, α = 90.00°, β = 90.94° and γ = 90.00°. The distinct sites, in fractional coordinates, are Th at (0.0000, 0.0000, 0.0000), Ta at (0.4982, 0.1617, 0.3996), H at (0.1554, 0.1404, 0.4994), H at (0.2099, 0.5000, 0.5378), H at (0.2986, 0.3141, 0.2222), H at (0.3875, 0.0000, 0.1311) and H at (0.4992, 0.2186, 0.8995).

As for the energy: -5.46 eV/atom.